Entry 1:
# CoBi

A geometry-optimized CoBi structure (GGA-PBE, the Open Quantum Materials Database).

Total DFT energy (no corrections), eV per atom: -5.032
Crystal system: trigonal
Calculated density, Mg/m³: 11.360

Cell: 3.4272 3.4272 11.5495 Å, 90.00 90.00 120.00°
Space group R-3m (No. 166, hexagonal axes)
Unique sites:
Co1 0.0000 0.0000 0.0000
Bi1 0.0000 0.0000 0.5000

=====

Entry 2:
# MgCoSnAu

A geometry-optimized MgCoSnAu structure (GGA-PBE, the Open Quantum Materials Database).

Offset from the most stable computed form, eV/atom: 0.000
Crystal system: cubic
Calculated density, Mg/m³: 9.722

Cell: 6.484 6.484 6.484 Å, 90.00 90.00 90.00°
Space group F-43m (No. 216)
Unique sites:
Mg1 0.000 0.000 0.000
Co1 0.250 0.250 0.750
Sn1 0.000 0.000 0.500
Au1 0.250 0.250 0.250

=====

Entry 3:
# CsSiAgS3

A geometry-optimized CsSiAgS3 structure (GGA-PBE, the Open Quantum Materials Database).

Offset from the most stable computed form, eV/atom: 0.156
Crystal system: orthorhombic
Calculated density, Mg/m³: 4.162

Cell: 3.523 16.284 10.156 Å, 90.00 90.00 90.00°
Space group Cmcm (No. 63)
Unique sites:
Cs1 0.000 0.224 0.250
Si1 0.000 0.500 0.000
Ag1 0.000 0.080 0.750
S1 0.000 0.098 0.515
S2 0.000 0.460 0.750